1.
A relaxed Mn2IrRh crystal, computed with PBE-GGA.

The structure in POSCAR format:
```
Mn2IrRh
1.0
1.373 -2.279 0.000
1.373 2.279 0.000
0.000 0.000 8.751
Mn Ir Rh
2 1 1
Direct
0.000 0.000 0.000
0.500 0.500 0.238
0.500 0.500 0.757
0.000 0.000 0.481
```

Total magnetic moment: 5.4 μB per formula unit
Formation energy from the elements: 0.207 eV/atom
Energy: -8.431 eV per atom



2.
A relaxed ScNbMo2I crystal, computed with PBE-GGA.

The structure in POSCAR format:
```
ScNbMo2I
1.0
4.788 0.000 0.000
0.000 4.788 0.000
0.000 0.000 5.383
Sc Nb Mo I
1 1 2 1
Direct
0.000 0.000 0.000
0.000 0.000 0.500
0.000 0.500 0.500
0.500 0.000 0.500
0.500 0.500 0.000
```

Total magnetic moment: 0.6 μB per formula unit
Energy: -6.518 eV per atom
Formation energy from raw total energies: 1405 meV per atom



3.
A relaxed Na2LiBeV crystal, computed with PBE-GGA.

The structure in POSCAR format:
```
Na2LiBeV
1.0
4.758 0.000 0.000
0.000 4.758 0.000
0.000 0.000 5.082
Na Li Be V
2 1 1 1
Direct
0.000 0.500 0.000
0.500 0.000 0.000
0.000 0.000 0.000
0.500 0.500 0.500
0.000 0.000 0.500
```

Total magnetic moment: 4.0 μB per formula unit
Formation energy from the elements: 1.261 eV/atom
Energy: -2.219 eV per atom



4.
A relaxed Rb4PdO2 crystal, computed with PBE-GGA.

The structure in POSCAR format:
```
Rb4PdO2
1.0
2.614 1.509 7.681
-2.614 1.509 7.681
0.000 -3.018 7.681
Rb Pd O
4 1 2
Direct
0.110 0.110 0.110
0.290 0.290 0.290
0.710 0.710 0.710
0.890 0.890 0.890
0.500 0.500 0.500
0.408 0.408 0.408
0.592 0.592 0.592
```

Total magnetic moment: 0.0 μB per formula unit
Energy: -3.447 eV per atom
Formation energy from raw total energies: -735 meV per atom



5.
A relaxed La2HgOs2 crystal, computed with PBE-GGA.

The structure in POSCAR format:
```
La2HgOs2
1.0
-2.833 2.833 4.053
2.833 -2.833 4.053
2.833 2.833 -4.053
La Hg Os
2 1 2
Direct
0.250 0.750 0.500
0.750 0.250 0.500
0.000 0.000 0.000
0.349 0.349 0.000
0.651 0.651 0.000
```

Total magnetic moment: 0.0 μB per formula unit
Formation energy from the elements: 0.265 eV/atom
Energy: -6.258 eV per atom



6.
A relaxed TaBiRu3 crystal, computed with PBE-GGA.

The structure in POSCAR format:
```
TaBiRu3
1.0
4.763 0.000 0.000
0.000 4.763 0.000
0.000 0.000 4.763
Ta Bi Ru
1 1 3
Direct
0.000 0.000 0.000
0.500 0.500 0.500
0.000 0.000 0.500
0.000 0.500 0.000
0.500 0.000 0.000
```

Total magnetic moment: 0.0 μB per formula unit
Formation energy from the elements: 1.232 eV/atom
Energy: -7.480 eV per atom
Energy relative to the lowest polymorph listed for this composition: 0.000 eV/atom